PuZn6Ag2 | the Alexandria database | GGA-PBE | relaxed; mass density = 8.983 g/cm3; uncorrected energy = -3.0842 eV per atom
1.0
-1.438 4.010 6.829
1.438 -4.010 6.829
1.438 4.010 -6.829
Pu Zn Ag
1 6 2
Direct
0.000 0.000 0.000 Pu
0.006 0.325 0.681 Zn
0.336 0.500 0.836 Zn
0.355 0.675 0.681 Zn
0.645 0.325 0.319 Zn
0.664 0.500 0.164 Zn
0.994 0.675 0.319 Zn
0.349 0.849 0.500 Ag
0.651 0.151 0.500 Ag